## i
Entry from the Alexandria database: a relaxed Tl3In2Hg5 crystal (PBE).

## Properties
The crystal system is orthorhombic.

Cell: 13.1043 13.7487 6.7259 Å, 90.00 90.00 90.00°
Last column: nearest neighbours and their distance in Å.
Space group Ibam (No. 72)
One atom of each set of equivalent atoms:
Tl: 0.0000 0.0000 0.2500 (multiplicity 4)  4 In 3.13, 2 Tl 3.36
Tl: 0.2174 0.1403 0.0000 (multiplicity 8)  6 Hg 3.49-3.85, 3 In 3.54-3.59, 2 Tl 3.83
In: 0.1233 0.1515 0.5000 (multiplicity 8)  3 Hg 2.86-2.96, 2 Tl 3.13
Hg: 0.0000 0.2842 0.2500 (multiplicity 8)  2 In 2.96, 3 Hg 2.97-3.27
Hg: 0.0000 0.5000 0.2500 (multiplicity 4)  6 Hg 2.97-3.03
Hg: 0.1682 0.4110 0.0000 (multiplicity 8)  1 In 2.86, 2 Hg 3.03

***

## ii
Entry from the Alexandria database: a relaxed Tl3In2Hg5 crystal (PBE).

## Properties
The crystal system is triclinic.

Cell: 5.5219 5.6498 9.8347 Å, 99.61 93.72 108.04°
Last column: nearest neighbours and their distance in Å.
Space group P-1 (No. 2)
One atom of each set of equivalent atoms:
Tl: 0.0000 0.0000 0.0000 (multiplicity 1)  8 Hg 3.29-3.53, 2 Tl 3.44
Tl: 0.0970 0.1954 0.6886 (multiplicity 2)  6 Hg 3.25-3.54, 3 In 3.32-3.44, 1 Tl 3.44
In: 0.2247 0.4216 0.3882 (multiplicity 2)  4 Hg 3.12-3.48, 3 Tl 3.32-3.44, 1 In 3.42
Hg: 0.3135 0.6119 0.0929 (multiplicity 2)  5 Hg 3.18-3.55, 1 In 3.28, 4 Tl 3.29-3.54
Hg: 0.3995 0.7995 0.7926 (multiplicity 2)  4 Hg 3.18-3.48, 2 In 3.22-3.52, 4 Tl 3.25-3.53
Hg: 0.5000 0.0000 0.5000 (multiplicity 1)  4 In 3.12-3.48, 2 Hg 3.28, 4 Tl 3.31-3.43

***

Relative stability in meV/atom, measured from the most stable structure: i 48; ii 0